Record 1
Entry from Alexandria: crystalline Pm2Ho5In4 at its relaxed geometry (PBE-GGA).

Structure (CIF):
```
data_Pm2Ho5In4
_cell_length_a 3.6783
_cell_length_b 8.9055
_cell_length_c 20.9297
_cell_angle_alpha 90.00
_cell_angle_beta 90.00
_cell_angle_gamma 90.00
_symmetry_space_group_name_H-M 'I m m m'
_symmetry_Int_Tables_number 71
_symmetry_space_group_name_Hall '-I 2 2'
loop_
_atom_site_label
_atom_site_fract_x
_atom_site_fract_y
_atom_site_fract_z
_atom_site_occupancy
Pm1 0.0000 0.0000 0.0812 1
Ho1 0.0000 0.2059 0.3463 1
Ho2 0.0000 0.5000 0.0000 1
In1 0.0000 0.0000 0.2253 1
In2 0.0000 0.2704 0.5000 1
```

**Uncorrected energy**: -89.15 eV per cell
**ΔH_f (0 K)**: -112 meV per atom

Record 2
Entry from Alexandria: crystalline Pm3Ho2In4 at its relaxed geometry (PBE-GGA).

Structure (CIF):
```
data_Pm3Ho2In4
_cell_length_a 7.1552
_cell_length_b 15.4061
_cell_length_c 10.0046
_cell_angle_alpha 90.00
_cell_angle_beta 90.00
_cell_angle_gamma 90.00
_symmetry_space_group_name_H-M 'C m c e'
_symmetry_Int_Tables_number 64
_symmetry_space_group_name_Hall '-C 2ac 2'
loop_
_atom_site_label
_atom_site_fract_x
_atom_site_fract_y
_atom_site_fract_z
_atom_site_occupancy
Pm1 0.0000 0.0000 0.0000 1
Pm2 0.2500 0.2255 0.2500 1
Ho1 0.0000 0.1043 0.5352 1
In1 0.0000 0.1969 0.9850 1
In2 0.2500 0.0076 0.2500 1
```

**Uncorrected energy**: -145.97 eV per cell
**ΔH_f (0 K)**: -237 meV per atom

Record 3
Entry from Alexandria: crystalline Pm5HoIn2 at its relaxed geometry (PBE-GGA).

Structure (CIF):
```
data_Pm5HoIn2
_cell_length_a 6.9874
_cell_length_b 13.9756
_cell_length_c 4.9257
_cell_angle_alpha 90.00
_cell_angle_beta 90.00
_cell_angle_gamma 90.00
_symmetry_space_group_name_H-M 'P b a m'
_symmetry_Int_Tables_number 55
loop_
_symmetry_equiv_pos_as_xyz
'x,y,z'
'-x,-y,-z'
'-x,-y,z'
'x,y,-z'
'x+1/2,-y+1/2,-z'
'-x+1/2,y+1/2,z'
'-x+1/2,y+1/2,-z'
'x+1/2,-y+1/2,z'
loop_
_atom_site_label
_atom_site_fract_x
_atom_site_fract_y
_atom_site_fract_z
_atom_site_occupancy
Pm1 0.0000 0.0000 0.0000 1
Pm2 0.0013 0.2520 0.0000 1
Pm3 0.2493 0.8760 0.5000 1
Ho1 0.0000 0.5000 0.0000 1
In1 0.2464 0.6233 0.5000 1
```

**Uncorrected energy**: -71.99 eV per cell
**ΔH_f (0 K)**: -274 meV per atom
**Energy above the most stable polymorph in this dataset**: 0.00 kcal/mol of atoms

Record 4
Entry from Alexandria: crystalline Pm2HoIn6 at its relaxed geometry (PBE-GGA).

Structure (CIF):
```
data_Pm2HoIn6
_cell_length_a 8.6459
_cell_length_b 8.6459
_cell_length_c 3.6361
_cell_angle_alpha 90.00
_cell_angle_beta 90.00
_cell_angle_gamma 120.00
_symmetry_space_group_name_H-M 'P 6/m m m'
_symmetry_Int_Tables_number 191
_symmetry_space_group_name_Hall '-P 6 2'
loop_
_atom_site_label
_atom_site_fract_x
_atom_site_fract_y
_atom_site_fract_z
_atom_site_occupancy
Pm1 0.3333 0.6667 0.0000 1
Ho1 0.0000 0.0000 0.0000 1
In1 0.0000 0.3319 0.5000 1
```

**Uncorrected energy**: -34.40 eV per cell
**ΔH_f (0 K)**: -432 meV per atom

Record 5
Entry from Alexandria: crystalline Pm3Ho8In at its relaxed geometry (PBE-GGA).

Structure (CIF):
```
data_Pm3Ho8In
_cell_length_a 8.6388
_cell_length_b 8.6388
_cell_length_c 11.2317
_cell_angle_alpha 90.00
_cell_angle_beta 90.00
_cell_angle_gamma 90.00
_symmetry_space_group_name_H-M 'I -4 2 m'
_symmetry_Int_Tables_number 121
_symmetry_space_group_name_Hall 'I -4 2'
loop_
_atom_site_label
_atom_site_fract_x
_atom_site_fract_y
_atom_site_fract_z
_atom_site_occupancy
Pm1 0.0000 0.0000 0.0000 1
Pm2 0.0000 0.5000 0.2500 1
Ho1 0.1262 0.1262 0.2474 1
Ho2 0.2490 0.2490 0.9876 1
In1 0.0000 0.0000 0.5000 1
```

**Uncorrected energy**: -95.05 eV per cell
**ΔH_f (0 K)**: 507 meV per atom

Record 6
Entry from Alexandria: crystalline Pm3Ho4In at its relaxed geometry (PBE-GGA).

Structure (CIF):
```
data_Pm3Ho4In
_cell_length_a 11.2644
_cell_length_b 7.0840
_cell_length_c 6.2122
_cell_angle_alpha 90.00
_cell_angle_beta 90.00
_cell_angle_gamma 90.00
_symmetry_space_group_name_H-M 'P m n 21'
_symmetry_Int_Tables_number 31
loop_
_symmetry_equiv_pos_as_xyz
'x,y,z'
'-x+1/2,-y,z+1/2'
'-x,y,z'
'x+1/2,-y,z+1/2'
loop_
_atom_site_label
_atom_site_fract_x
_atom_site_fract_y
_atom_site_fract_z
_atom_site_occupancy
Pm1 0.0000 0.1275 0.0000 1
Pm2 0.2387 0.1160 0.3450 1
Ho1 0.0000 0.3785 0.5388 1
Ho2 0.0000 0.6287 0.0177 1
Ho3 0.2393 0.6238 0.3617 1
In1 0.0000 0.8632 0.5240 1
```

**Uncorrected energy**: -72.40 eV per cell
**ΔH_f (0 K)**: -112 meV per atom
**Energy above the most stable polymorph in this dataset**: 0.00 kcal/mol of atoms

Repeat the fourth record exactly.
Entry from Alexandria: crystalline Pm2HoIn6 at its relaxed geometry (PBE-GGA).

Structure (CIF):
```
data_Pm2HoIn6
_cell_length_a 8.6459
_cell_length_b 8.6459
_cell_length_c 3.6361
_cell_angle_alpha 90.00
_cell_angle_beta 90.00
_cell_angle_gamma 120.00
_symmetry_space_group_name_H-M 'P 6/m m m'
_symmetry_Int_Tables_number 191
_symmetry_space_group_name_Hall '-P 6 2'
loop_
_atom_site_label
_atom_site_fract_x
_atom_site_fract_y
_atom_site_fract_z
_atom_site_occupancy
Pm1 0.3333 0.6667 0.0000 1
Ho1 0.0000 0.0000 0.0000 1
In1 0.0000 0.3319 0.5000 1
```

**Uncorrected energy**: -34.40 eV per cell
**ΔH_f (0 K)**: -432 meV per atom